# Nd2Mn2AlNi5 (PBE-GGA, optimized geometry)
data_Nd2Mn2AlNi5
_chemical_formula_sum 'Nd4 Mn4 Al2 Ni10'
_symmetry_space_group_name_H-M 'P 4/m b m'
_symmetry_Int_Tables_number 127
_symmetry_space_group_name_Hall '-P 4 2ab'
_cell_length_a 9.413
_cell_length_b 9.413
_cell_length_c 3.583
_cell_angle_alpha 90.00
_cell_angle_beta 90.00
_cell_angle_gamma 90.00
loop_
_atom_site_label
_atom_site_fract_x
_atom_site_fract_y
_atom_site_fract_z
_atom_site_occupancy
Nd1 0.182 0.318 0.000 1
Mn1 0.119 0.619 0.000 1
Al1 0.000 0.000 0.000 1
Ni1 0.000 0.500 0.500 1
Ni2 0.052 0.799 0.500 1
# Uncorrected energy   -123.2 eV for the cell shown